# MgZr2C2

Crystalline MgZr2C2 at its relaxed geometry (PBE, the Open Quantum Materials Database).

Cell: 3.4021 3.4021 7.8999 Å, 90.00 90.00 120.00°
Space group P-3m1 (No. 164)
Symmetry-distinct sites (fractional):
Mg  0.0000  0.0000  0.0000 [1 per cell]
Zr  0.3333  0.6667  0.3105 [2 per cell]
C  0.3333  0.6667  0.8123 [2 per cell]

# ZrAgO3

Crystalline ZrAgO3 at its relaxed geometry (PBE, the Open Quantum Materials Database).

Cell: 5.5598 5.5598 14.9151 Å, 90.00 90.00 120.00°
Space group R-3 (No. 148, hexagonal axes)
Symmetry-distinct sites (fractional):
Zr  0.0000  0.0000  0.1466 [6 per cell]
Ag  0.0000  0.0000  0.3578 [6 per cell]
O  0.0218  0.3087  0.7571 [18 per cell]

# ZrPaBi

Crystalline ZrPaBi at its relaxed geometry (PBE, the Open Quantum Materials Database).

Cell: 6.9981 6.9981 6.9981 Å, 90.00 90.00 90.00°
Space group F-43m (No. 216)
Symmetry-distinct sites (fractional):
Zr  0.0000  0.0000  0.0000 [4 per cell]
Pa  0.2500  0.2500  0.2500 [4 per cell]
Bi  0.2500  0.2500  0.7500 [4 per cell]

Results
relative energy among the computed polymorphs = 0.0000 eV/atom

# NaNdHgSe3

Crystalline NaNdHgSe3 at its relaxed geometry (PBE, the Open Quantum Materials Database).

Cell: 8.1611 4.2412 10.1445 Å, 90.00 103.85 90.00°
Space group P2_1/m (No. 11)
Symmetry-distinct sites (fractional):
Na  0.2382  0.2500  0.2525 [2 per cell]
Nd  0.3089  0.7500  0.8623 [2 per cell]
Hg  0.0951  0.2500  0.6071 [2 per cell]
Se  0.0487  0.2500  0.8561 [2 per cell]
Se  0.2652  0.7500  0.5417 [2 per cell]
Se  0.4454  0.7500  0.1546 [2 per cell]

Results
relative energy among the computed polymorphs = 0.0124 eV/atom

# BaSrZr4O8

Crystalline BaSrZr4O8 at its relaxed geometry (PBE, the Open Quantum Materials Database).

Cell: 5.8829 5.8829 7.8718 Å, 90.00 90.00 120.00°
Space group P-31m (No. 162)
Symmetry-distinct sites (fractional):
Ba  0.0000  0.0000  0.0000 [1 per cell]
Sr  0.0000  0.0000  0.5000 [1 per cell]
Zr  0.3333  0.6667  0.2617 [4 per cell]
O  0.0000  0.3069  0.2592 [6 per cell]
O  0.3333  0.6667  0.0000 [2 per cell]

# Er2Os2O5

Crystalline Er2Os2O5 at its relaxed geometry (PBE, the Open Quantum Materials Database).

Cell: 3.5249 3.5249 9.2625 Å, 90.00 90.00 90.00°
Space group P4/mmm (No. 123)
Symmetry-distinct sites (fractional):
Er  0.0000  0.0000  0.2360 [2 per cell]
Os  0.5000  0.5000  0.0000 [1 per cell]
Os  0.5000  0.5000  0.5000 [1 per cell]
O  0.0000  0.0000  0.0000 [1 per cell]
O  0.0000  0.5000  0.3740 [4 per cell]

Results
relative energy among the computed polymorphs = 0.2196 eV/atom

no.,electronic total energy (eV per atom)
1,-7.557
2,-7.075
3,-6.894
4,-3.904
5,-8.227
6,-7.646